Density functional theory data (PBE-GGA) for a geometry-optimized CeTmPu2Sb4 structure.

Lattice parameters (Å, degrees): 7.657 4.436 7.662 90.00 109.55 90.00
Atoms (fractional coordinates):
Ce  0.000  0.000  0.000
Tm  0.000  0.500  0.500
Pu  0.500  0.000  0.500
Pu  0.500  0.500  0.000
Sb  0.248  0.000  0.746
Sb  0.250  0.500  0.254
Sb  0.750  0.500  0.746
Sb  0.752  0.000  0.254

Summary:
- Symmetry: P2/m, No. 10
- E_tot: -62.19 eV for the cell shown
- Density: 8.69 g/cm³